No. 1
DFT (PBE) results for a relaxed Ca3Pa3BN8 crystal.

Cell: 7.433 6.833 7.072 Å, 120.70 90.00 122.95°
Positions (direct):
Ca: 0.000 0.000 0.000
Ca: 0.000 0.500 0.000
Ca: 0.500 0.500 0.000
Pa: 0.500 0.000 0.500
Pa: 0.500 0.500 0.500
Pa: 0.000 0.500 0.500
B: 0.000 0.000 0.500
N: 0.255 0.511 0.271
N: 0.745 0.489 0.729
N: 0.846 0.693 0.355
N: 0.154 0.307 0.645
N: 0.735 0.053 0.279
N: 0.265 0.947 0.721
N: 0.318 0.053 0.279
N: 0.682 0.947 0.721

The crystal system is monoclinic. For the raw formation energy, the calculation gives -1111.0 meV per atom.



No. 2
DFT (PBE) results for a relaxed CaPmBN2 crystal.

Cell: 4.039 5.834 7.502 Å, 104.73 90.00 90.00°
Positions (direct):
Ca: 0.500 0.000 0.250
Ca: 0.500 0.000 0.750
Pm: 0.000 0.500 0.750
Pm: 0.000 0.500 0.250
B: 0.000 0.000 0.000
B: 0.000 0.000 0.500
N: 0.000 0.799 0.060
N: 0.000 0.201 0.440
N: 0.000 0.799 0.560
N: 0.000 0.201 0.940

The crystal system is monoclinic. For the raw formation energy, the calculation gives -871.9 meV per atom.



No. 3
DFT (PBE) results for a relaxed CaPm3B2N6 crystal.

Cell: 5.621 5.621 6.227 Å, 90.00 90.00 120.00°
Positions (direct):
Ca: 0.000 0.000 0.500
Pm: 0.333 0.667 0.652
Pm: 0.667 0.333 0.348
Pm: 0.000 0.000 0.000
B: 0.667 0.333 0.762
B: 0.333 0.667 0.238
N: 0.628 0.814 0.269
N: 0.186 0.372 0.269
N: 0.186 0.814 0.269
N: 0.814 0.628 0.731
N: 0.372 0.186 0.731
N: 0.814 0.186 0.731

The crystal system is trigonal. For the raw formation energy, the calculation gives -998.6 meV per atom.